The following is a DFT calculation (PBE+U) of an optimized crystal structure of Na2PuCoO6.

* M_tot: 0.500 μB per atom
* energy: -69.569 eV per cell
* theoretical density: 5.6 Mg/m³

Cell: 5.5709 5.5709 4.2566 Å, 90.00 90.00 90.00°
Closest atoms and distances in Å follow each position.
Space group P4mm (No. 99)
Unique sites:
1 Na 0.0000 0.5000 0.0000 [2 per cell]  8 O 2.69-2.80
2 Pu 0.0000 0.0000 0.5595 [1 per cell]  6 O 1.96-2.14
3 Co 0.5000 0.5000 0.4787 [1 per cell]  1 O 1.72
4 O 0.0000 0.0000 0.0622 [1 per cell]  2 Pu 2.12-2.14
5 O 0.2482 0.2482 0.5705 [4 per cell]  1 Pu 1.96, 1 Co 2.02
6 O 0.5000 0.5000 0.0742 [1 per cell]  1 Co 1.72